# 1
## Y2TcMo3 (PBE)

Data for Y2TcMo3 after structural relaxation.

Cell: 9.5210 5.4834 5.4992 Å, 90.00 125.11 90.00°
Last column: nearest neighbours and their distance in Å.
Space group C2/m (No. 12)
Inequivalent atoms, fractional coordinates:
Y (0.1256, 0.0000, 0.3772) x4  3 Tc 3.21-3.22, 9 Mo 3.22-3.23, 4 Y 3.36-3.39
Tc (0.0000, 0.5000, 0.5000) x2  6 Mo 2.75
Mo (0.0000, 0.5000, 0.0000) x2  4 Mo 2.75, 2 Tc 2.75
Mo (0.2500, 0.2500, 0.0000) x4  4 Mo 2.74-2.75, 2 Tc 2.75

## Properties
**E_tot**: -9.289 eV per atom

***

# 2
## TiSeIN2 (PBE)

Data for TiSeIN2 after structural relaxation.

Cell: 3.9417 3.9417 5.9252 Å, 90.00 90.00 90.00°
Last column: nearest neighbours and their distance in Å.
Space group P4/mmm (No. 123)
Inequivalent atoms, fractional coordinates:
Ti (0.0000, 0.0000, 0.0000) x1  4 Se 2.79
Se (0.5000, 0.5000, 0.0000) x1  4 Ti 2.79, 2 I 2.96
I (0.5000, 0.5000, 0.5000) x1  4 N 1.97
N (0.0000, 0.5000, 0.5000) x2  2 I 1.97

## Properties
**Uncorrected formation energy**: 1.6350 eV/atom

***

# 3
## Pt (PBE)

Data for Pt after structural relaxation.

Cell: 3.1663 3.1663 3.1663 Å, 90.00 90.00 90.00°
Last column: nearest neighbours and their distance in Å.
Space group Im-3m (No. 229)
Inequivalent atoms, fractional coordinates:
Pt (0.0000, 0.0000, 0.0000) x2  8 Pt 2.74

## Properties
**E_tot**: -5.966 eV per atom

***

# 4
## NpZnSbN (PBE)

Data for NpZnSbN after structural relaxation.

Cell: 4.0019 4.0019 9.7094 Å, 90.00 90.00 90.00°
Last column: nearest neighbours and their distance in Å.
Space group P4/nmm (No. 129, origin choice 2)
Inequivalent atoms, fractional coordinates:
Np (0.2500, 0.2500, 0.1094) x2  4 N 2.27
Zn (0.2500, 0.7500, 0.5000) x2  4 Sb 2.75, 4 Zn 2.83
Sb (0.2500, 0.2500, 0.6947) x2  4 Zn 2.75
N (0.2500, 0.7500, 0.0000) x2  4 Np 2.27

## Properties
**Uncorrected formation energy**: -0.6035 eV/atom

***

# 5
## CeDy8Sc4 (PBE)

Data for CeDy8Sc4 after structural relaxation.

Cell: 7.1060 7.1060 25.9873 Å, 90.00 90.00 120.00°
Last column: nearest neighbours and their distance in Å.
Space group R-3m (No. 166, hexagonal axes)
Inequivalent atoms, fractional coordinates:
Ce (0.0000, 0.0000, 0.0000) x3  6 Dy 2.82
Dy (0.0000, 0.0000, 0.2779) x6  3 Sc 3.54, 9 Dy 3.57-3.68
Dy (0.0287, 0.5144, 0.2667) x18  1 Ce 2.82
Sc (0.0000, 0.0000, 0.5000) x3  6 Dy 3.21, 6 Sc 3.55
Sc (0.0000, 0.5000, 0.5000) x9  6 Dy 3.37-3.54, 6 Sc 3.55

## Properties
**E_tot**: -5.035 eV per atom